# 1
Density functional theory data (PBE) for crystalline Mg2TcPb at its relaxed geometry.

Structure (POSCAR):
```
Mg2TcPb
1.0
3.1485 0.0000 0.0000
-1.5742 2.7267 0.0000
0.0000 0.0000 29.3464
Mg Tc Pb
6 3 3
direct
0.0000 0.0000 0.2381
0.0000 0.0000 0.7619
0.3333 0.6667 0.4285
0.3333 0.6667 0.9048
0.6667 0.3333 0.0952
0.6667 0.3333 0.5715
0.0000 0.0000 0.5000
0.3333 0.6667 0.1667
0.6667 0.3333 0.8333
0.0000 0.0000 0.0000
0.3333 0.6667 0.6667
0.6667 0.3333 0.3333
```

## Properties
* SG: R-3m
* DFT formation energy: 0.30 eV/atom
* calculated density: 7.00 g cm⁻³
* total moment: 0.94 μB/f.u.
* final energy: -4.02 eV/atom


# 2
Density functional theory data (PBE) for crystalline MgTcPb2 at its relaxed geometry.

Structure (POSCAR):
```
MgTcPb2
1.0
3.4549 0.0000 0.0000
0.0000 3.4549 0.0000
0.0000 0.0000 7.7227
Mg Tc Pb
1 1 2
direct
0.0000 0.0000 0.0000
0.5000 0.5000 0.8164
0.0000 0.0000 0.6168
0.5000 0.5000 0.2628
```

## Properties
* SG: P4mm
* DFT formation energy: 0.37 eV/atom
* calculated density: 9.67 g cm⁻³
* total moment: 0.69 μB/f.u.
* final energy: -4.48 eV/atom


# 3
Density functional theory data (PBE) for crystalline MgTcPb2 at its relaxed geometry.

Structure (POSCAR):
```
MgTcPb2
1.0
7.1836 0.0000 0.0000
0.0000 7.1836 0.0000
0.0000 0.0000 7.1836
Mg Tc Pb
4 4 8
direct
0.0000 0.0000 0.0000
0.0000 0.5000 0.5000
0.5000 0.0000 0.5000
0.5000 0.5000 0.0000
0.2500 0.2500 0.7500
0.2500 0.7500 0.2500
0.7500 0.2500 0.2500
0.7500 0.7500 0.7500
0.0000 0.0000 0.5000
0.0000 0.5000 0.0000
0.2500 0.2500 0.2500
0.2500 0.7500 0.7500
0.5000 0.0000 0.0000
0.5000 0.5000 0.5000
0.7500 0.2500 0.7500
0.7500 0.7500 0.2500
```

## Properties
* SG: F-43m
* DFT formation energy: 0.67 eV/atom
* calculated density: 9.62 g cm⁻³
* total moment: 1.60 μB/f.u.
* final energy: -4.17 eV/atom


# 4
Density functional theory data (PBE) for crystalline MgTcPb at its relaxed geometry.

Structure (POSCAR):
```
MgTcPb
1.0
6.4851 0.0000 0.0000
0.0000 6.4851 0.0000
0.0000 0.0000 6.4851
Mg Tc Pb
4 4 4
direct
0.0000 0.0000 0.0000
0.0000 0.5000 0.5000
0.5000 0.0000 0.5000
0.5000 0.5000 0.0000
0.2500 0.2500 0.7500
0.2500 0.7500 0.2500
0.7500 0.2500 0.2500
0.7500 0.7500 0.7500
0.0000 0.0000 0.5000
0.0000 0.5000 0.0000
0.5000 0.0000 0.0000
0.5000 0.5000 0.5000
```

## Properties
* SG: F-43m
* DFT formation energy: 0.61 eV/atom
* calculated density: 8.02 g cm⁻³
* excess energy over the best structure of this formula in the dataset: 0.3117 eV per atom
* total moment: 0.96 μB/f.u.
* final energy: -4.61 eV/atom


Q: What is the DFT formation energy in the first record?
A: 0.30 eV/atom


Q: What is the calculated density in the first record?
A: 7.00 g cm⁻³


Q: What is the calculated density in the second record?
A: 9.67 g cm⁻³